No. 1
A relaxed structure of NpCdPtO6. Source: Alexandria, functional PBE.

## Properties
Raw total energy ... -0.2621 Ha/atom

Lattice parameters (Å, degrees): 5.3304 5.3304 10.0987 90.00 90.00 120.00
Space group P-31c (No. 163)
Symmetry-distinct sites (fractional):
Np 0.3333 0.6667 0.2500
Cd 0.0000 0.0000 0.0000
Pt 0.3333 0.6667 0.7500
O 0.0067 0.3551 0.6377

=====

No. 2
A relaxed structure of SrZn2Pb2. Source: Alexandria, functional PBE.

## Properties
DOS(E_F) ... 1.47 states/eV/f.u.
Raw total energy ... -0.0946 Ha/atom
Energy relative to the elements ... -0.244 eV per atom

Lattice parameters (Å, degrees): 4.835 4.835 11.610 90.00 90.00 90.00
Space group I4/mmm (No. 139)
Symmetry-distinct sites (fractional):
Sr 0.000 0.000 0.000
Zn 0.000 0.000 0.395
Pb 0.000 0.500 0.250

=====

No. 3
A relaxed structure of Pm2PbO. Source: Alexandria, functional PBE.

## Properties
DOS(E_F) ... 2.28 states/eV/f.u.
Raw total energy ... -0.2233 Ha/atom
Energy relative to the lowest polymorph listed for this composition ... 225.3 meV/atom

Lattice parameters (Å, degrees): 6.509 6.418 11.517 90.00 115.21 90.00
Space group P2/c (No. 13)
Symmetry-distinct sites (fractional):
Pm 0.014 0.238 0.073
Pm 0.288 0.186 0.828
Pb 0.444 0.314 0.369
O 0.008 0.103 0.622